[1]
First-principles (GGA-PBEsol) data for a relaxed structure of Ca3MnSe, as listed in Alexandria via LeMat-Bulk.

Cell lengths 5.1885, 5.1885, 5.1885 Å; angles 90.00, 90.00, 90.00 degrees
Site moments in Bohr magnetons follow the coordinates.
Atoms (fractional coordinates):
Se (0.5000, 0.5000, 0.5000)  0.02
Ca (0.0000, 0.0000, 0.5000)  -0.08
Ca (0.0000, 0.5000, 0.0000)  -0.08
Ca (0.5000, 0.0000, 0.0000)  -0.08
Mn (0.0000, 0.0000, 0.0000)  2.27

Output
- Space-group type: Pm-3m, No. 221
- Energy relative to the elements, uncorrected: 98.4 kJ/mol of formula units



[2]
First-principles (GGA-PBEsol) data for a relaxed structure of CaMnSe2, as listed in Alexandria via LeMat-Bulk.

Cell lengths 3.9169, 3.9162, 6.6674 Å; angles 90.01, 90.00, 120.01 degrees
Site moments in Bohr magnetons follow the coordinates.
Atoms (fractional coordinates):
Ca (0.6250, 0.2500, 0.2500)  0.05
Mn (0.6251, 0.2501, 0.7500)  4.29
Se (0.9583, 0.9165, 0.9730)  0.08
Se (0.2917, 0.5834, 0.5271)  0.08

Output
- ΔE to the lowest computed polymorph: 0.0165 eV/atom
- Space-group type: P-3m1, No. 164
- Energy relative to the elements, uncorrected: -415.0 kJ/mol of formula units



[3]
First-principles (GGA-PBEsol) data for a relaxed structure of CaMnSe2, as listed in Alexandria via LeMat-Bulk.

Cell lengths 3.9818, 3.9818, 6.8358 Å; angles 73.07, 73.07, 60.00 degrees
Site moments in Bohr magnetons follow the coordinates.
Atoms (fractional coordinates):
Se (0.2413, 0.2413, 0.2760)  0.09
Se (0.7587, 0.7587, 0.7240)  0.09
Ca (0.0000, 0.0000, 0.0000)  0.04
Mn (0.5000, 0.5000, 0.5000)  4.31

Output
- ΔE to the lowest computed polymorph: 0.0000 eV/atom
- Space-group type: R-3m, No. 166
- Energy relative to the elements, uncorrected: -421.4 kJ/mol of formula units



[4]
First-principles (GGA-PBEsol) data for a relaxed structure of Ca2MnSe, as listed in Alexandria via LeMat-Bulk.

Cell lengths 4.1938, 4.1938, 6.3199 Å; angles 109.38, 109.38, 90.00 degrees
Site moments in Bohr magnetons follow the coordinates.
Atoms (fractional coordinates):
Se (0.2500, 0.7500, 0.5000)  0.04
Ca (0.7500, 0.2500, 0.5000)  -0.03
Ca (0.0000, 0.0000, 0.0000)  -0.04
Mn (0.5000, 0.5000, 0.0000)  3.90

Output
- Space-group type: I-4m2, No. 119
- Energy relative to the elements, uncorrected: -101.6 kJ/mol of formula units



[5]
First-principles (GGA-PBEsol) data for a relaxed structure of CaMnSe4, as listed in Alexandria via LeMat-Bulk.

Cell lengths 5.7333, 5.7333, 5.7333 Å; angles 60.00, 60.00, 60.00 degrees
Site moments in Bohr magnetons follow the coordinates.
Atoms (fractional coordinates):
Se (0.3741, 0.3741, 0.3741)  0.04
Se (0.3741, 0.8776, 0.3741)  0.04
Se (0.3741, 0.3741, 0.8776)  0.04
Se (0.8776, 0.3741, 0.3741)  0.04
Mn (0.0000, 0.0000, 0.0000)  4.38
Ca (0.7500, 0.7500, 0.7500)  0.01

Output
- Space-group type: F-43m, No. 216
- Energy relative to the elements, uncorrected: 90.8 kJ/mol of formula units



[6]
First-principles (GGA-PBEsol) data for a relaxed structure of CaMnSi, as listed in Alexandria via LeMat-Bulk.

Cell lengths 3.8961, 3.8961, 7.5263 Å; angles 90.00, 90.00, 90.00 degrees
Site moments in Bohr magnetons follow the coordinates.
Atoms (fractional coordinates):
Ca (0.5000, 0.0000, 0.6732)  -0.02
Ca (0.0000, 0.5000, 0.3268)  -0.02
Mn (0.5000, 0.5000, 0.0000)  1.93
Mn (0.0000, 0.0000, 0.0000)  1.93
Si (0.0000, 0.5000, 0.8225)  -0.08
Si (0.5000, 0.0000, 0.1775)  -0.08

Output
- Space-group type: P4/nmm, No. 129
- Energy relative to the elements, uncorrected: -102.3 kJ/mol of formula units



[7]
First-principles (GGA-PBEsol) data for a relaxed structure of CaMn2Si, as listed in Alexandria via LeMat-Bulk.

Cell lengths 2.8231, 2.8231, 7.2247 Å; angles 90.00, 90.00, 90.00 degrees
Atoms (fractional coordinates):
Ca (0.5000, 0.5000, 0.7545)
Mn (0.5000, 0.5000, 0.2338)
Mn (0.0000, 0.0000, 0.0744)
Si (0.0000, 0.0000, 0.4373)

Output
- Space-group type: P4mm, No. 99
- Energy relative to the elements, uncorrected: 24.9 kJ/mol of formula units



[8]
First-principles (GGA-PBEsol) data for a relaxed structure of Sr2CaMn, as listed in Alexandria via LeMat-Bulk.

Cell lengths 3.9622, 3.9622, 11.4248 Å; angles 80.01, 80.01, 60.00 degrees
Site moments in Bohr magnetons follow the coordinates.
Atoms (fractional coordinates):
Sr (0.7323, 0.7323, 0.8032)  -0.06
Sr (0.2677, 0.2677, 0.1968)  -0.06
Mn (0.0000, 0.0000, 0.0000)  3.79
Ca (0.5000, 0.5000, 0.5000)  0.00

Output
- Formation enthalpy at 0 K: 12.2 kcal/mol of atoms
- Space-group type: R-3m, No. 166



[9]
First-principles (GGA-PBEsol) data for a relaxed structure of SrCaMn2, as listed in Alexandria via LeMat-Bulk.

Cell lengths 3.6469, 5.1552, 6.1185 Å; angles 114.92, 107.34, 90.00 degrees
Site moments in Bohr magnetons follow the coordinates.
Atoms (fractional coordinates):
Sr (0.4772, 0.4772, 0.9543)  -0.01
Ca (0.2639, 0.7639, 0.5277)  0.02
Mn (0.6891, 0.1891, 0.3783)  2.74
Mn (0.0698, 0.0698, 0.1397)  -2.67

Output
- Formation enthalpy at 0 K: 14.0 kcal/mol of atoms
- Space-group type: Imm2, No. 44



[10]
First-principles (GGA-PBEsol) data for a relaxed structure of SrCa2ZrMn, as listed in Alexandria via LeMat-Bulk.

Cell lengths 4.8002, 5.6840, 5.6840 Å; angles 90.00, 90.00, 90.00 degrees
Site moments in Bohr magnetons follow the coordinates.
Atoms (fractional coordinates):
Ca (0.0000, 0.0000, 0.5000)  -0.01
Ca (0.0000, 0.5000, 0.0000)  -0.01
Sr (0.5000, 0.5000, 0.5000)  -0.01
Zr (0.5000, 0.0000, 0.0000)  -0.33
Mn (0.0000, 0.0000, 0.0000)  2.10

Output
- Formation enthalpy at 0 K: 9.4 kcal/mol of atoms
- Space-group type: P4/mmm, No. 123



[11]
First-principles (GGA-PBEsol) data for a relaxed structure of CaTaMn, as listed in Alexandria via LeMat-Bulk.

Cell lengths 4.4718, 4.4718, 4.4718 Å; angles 60.00, 60.00, 60.00 degrees
Site moments in Bohr magnetons follow the coordinates.
Atoms (fractional coordinates):
Ta (0.7500, 0.7500, 0.7500)  -1.02
Ca (0.0000, 0.0000, 0.0000)  -0.13
Mn (0.5000, 0.5000, 0.5000)  2.55

Output
- Formation enthalpy at 0 K: 33.1 kcal/mol of atoms
- Space-group type: F-43m, No. 216



[12]
First-principles (GGA-PBEsol) data for a relaxed structure of CaTaMn2, as listed in Alexandria via LeMat-Bulk.

Cell lengths 2.9190, 2.9190, 9.2470 Å; angles 80.92, 80.92, 60.00 degrees
Site moments in Bohr magnetons follow the coordinates.
Atoms (fractional coordinates):
Ta (0.4863, 0.4863, 0.5411)  -0.08
Mn (0.7408, 0.7408, 0.7775)  2.08
Mn (0.0162, 0.0162, 0.9515)  -2.16
Ca (0.2567, 0.2567, 0.2299)  0.10

Output
- Formation enthalpy at 0 K: 16.8 kcal/mol of atoms
- Space-group type: R3m, No. 160